Entry from Alexandria via LeMat-Bulk: a relaxed SrIn2Ni crystal (GGA-PBE).

- energy relative to the elements (meV per atom) = -179
- size of the total moment (μB/f.u.) = 0.00
- crystal system = tetragonal

Cell lengths 3.397, 3.397, 7.992 Å; angles 90.00, 90.00, 90.00 degrees
Atoms (fractional coordinates):
In (0.000, 0.000, 0.064)
In (0.000, 0.000, 0.436)
Ni (0.500, 0.500, 0.250)
Sr (0.500, 0.500, 0.750)

Entry from Alexandria via LeMat-Bulk: a relaxed SrIn2Ni4 crystal (GGA-PBE).

- energy relative to the elements (meV per atom) = -181
- size of the total moment (μB/f.u.) = 0.00
- crystal system = tetragonal

Cell lengths 6.877, 6.877, 6.877 Å; angles 109.49, 109.46, 109.46 degrees
Atoms (fractional coordinates):
In (0.500, 0.672, 0.828)
Ni (0.744, 0.465, 0.965)
Sr (0.000, 0.750, 0.750)
Sr (0.000, 0.250, 0.250)
Ni (0.744, 0.779, 0.279)
Ni (0.500, 0.965, 0.221)
Ni (0.500, 0.721, 0.465)
Ni (0.500, 0.279, 0.535)
Ni (0.256, 0.535, 0.035)
In (0.845, 0.172, 0.672)
Ni (0.500, 0.035, 0.779)
Ni (0.256, 0.221, 0.721)
In (0.500, 0.328, 0.172)
In (0.155, 0.828, 0.328)

Entry from Alexandria via LeMat-Bulk: a relaxed SrIn12Ni4 crystal (GGA-PBE).

- energy relative to the elements (meV per atom) = -56
- size of the total moment (μB/f.u.) = 0.00
- crystal system = cubic

Cell lengths 8.348, 8.348, 8.348 Å; angles 109.47, 109.47, 109.47 degrees
Atoms (fractional coordinates):
Ni (0.000, 0.500, 0.000)
In (0.527, 0.208, 0.318)
In (0.208, 0.682, 0.890)
In (0.792, 0.318, 0.110)
In (0.682, 0.890, 0.208)
In (0.318, 0.527, 0.208)
Sr (0.000, 0.000, 0.000)
Ni (0.500, 0.500, 0.500)
In (0.792, 0.682, 0.473)
Ni (0.000, 0.000, 0.500)
Ni (0.500, 0.000, 0.000)
In (0.682, 0.473, 0.792)
In (0.110, 0.792, 0.318)
In (0.318, 0.110, 0.792)
In (0.208, 0.318, 0.527)
In (0.890, 0.208, 0.682)
In (0.473, 0.792, 0.682)

Entry from Alexandria via LeMat-Bulk: a relaxed SrIn6Ni3 crystal (GGA-PBE).

- energy relative to the elements (meV per atom) = -104
- size of the total moment (μB/f.u.) = 0.00
- crystal system = triclinic

Cell lengths 6.270, 6.281, 7.427 Å; angles 90.13, 114.88, 119.86 degrees
Atoms (fractional coordinates):
In (0.263, 0.881, 0.668)
In (0.288, 0.405, 0.671)
In (0.751, 0.085, 0.255)
In (0.790, 0.384, 0.671)
Sr (0.941, 0.972, 0.914)
Ni (0.317, 0.660, 0.972)
In (0.165, 0.665, 0.251)
Ni (0.261, 0.130, 0.388)
In (0.585, 0.501, 0.251)
Ni (0.638, 0.317, 0.959)

Entry from Alexandria via LeMat-Bulk: a relaxed SrIn4Ni crystal (GGA-PBE).

- energy relative to the elements (meV per atom) = 167
- size of the total moment (μB/f.u.) = 0.00
- crystal system = cubic

Cell lengths 6.081, 6.081, 6.081 Å; angles 60.00, 60.00, 60.00 degrees
Atoms (fractional coordinates):
In (0.873, 0.376, 0.376)
In (0.376, 0.376, 0.873)
Ni (0.750, 0.750, 0.750)
In (0.376, 0.873, 0.376)
In (0.376, 0.376, 0.376)
Sr (0.000, 0.000, 0.000)

Entry from Alexandria via LeMat-Bulk: a relaxed SrIn2Ni crystal (GGA-PBE).

- energy relative to the elements (meV per atom) = -322
- size of the total moment (μB/f.u.) = 0.00
- crystal system = orthorhombic

Cell lengths 6.027, 7.791, 16.303 Å; angles 90.00, 90.00, 90.00 degrees
Atoms (fractional coordinates):
In (0.976, 0.052, 0.213)
Sr (0.469, 0.250, 0.134)
Ni (0.519, 0.250, 0.571)
Sr (0.531, 0.750, 0.866)
In (0.216, 0.443, 0.957)
Ni (0.249, 0.250, 0.313)
In (0.976, 0.448, 0.213)
In (0.524, 0.052, 0.713)
Sr (0.280, 0.750, 0.104)
In (0.716, 0.943, 0.543)
In (0.784, 0.943, 0.043)
Sr (0.031, 0.250, 0.634)
In (0.476, 0.948, 0.287)
In (0.024, 0.948, 0.787)
In (0.476, 0.552, 0.287)
In (0.784, 0.557, 0.043)
Ni (0.751, 0.750, 0.687)
In (0.524, 0.448, 0.713)
Ni (0.981, 0.250, 0.071)
Sr (0.720, 0.250, 0.896)
In (0.716, 0.557, 0.543)
Ni (0.481, 0.750, 0.429)
Sr (0.220, 0.750, 0.604)
In (0.284, 0.057, 0.457)
Ni (0.019, 0.750, 0.929)
In (0.024, 0.552, 0.787)
In (0.216, 0.057, 0.957)
Sr (0.969, 0.750, 0.366)
In (0.284, 0.443, 0.457)
Ni (0.251, 0.250, 0.813)
Ni (0.749, 0.750, 0.187)
Sr (0.780, 0.250, 0.396)